The following is a GGA-PBE calculation of a geometry-optimized ScBeW4 structure, from the Alexandria database.

a b c (Å): 7.5118 7.5118 7.5118
angles (deg): 90.00 90.00 90.00
Space group F-43m (No. 216)
Inequivalent atoms, fractional coordinates:
Sc  0.0000  0.0000  0.0000
Be  0.2500  0.2500  0.2500
W  0.1243  0.1243  0.6243

Calculated values
Final energy ... -9.784 eV/atom